# 1
DFT (PBE-GGA) results for a relaxed Tm2S2O crystal.

The calculated volume is 18.6 A^3/atom. As for the uncorrected formation energy: -2.643 eV/atom. Its total magnetization is 0.00 μB/f.u. For the energy above the most stable polymorph in this dataset, the calculation gives 0.000 eV per formula unit.

The space group is P2_1/c (No. 14) and the conventional cell measures 8.185, 6.802 and 6.791 Å, with angles of 90.00, 99.47 and 90.00 degrees. The inequivalent atoms are Tm at (0.075, 0.146, 0.324), Tm at (0.361, 0.553, 0.251), S at (0.182, 0.631, 0.581), S at (0.425, 0.223, 0.470) and O at (0.117, 0.087, 0.650).

---

# 2
DFT (PBE-GGA) results for a relaxed TmU2S3O2 crystal.

The calculated volume is 18.9 A^3/atom. As for the uncorrected formation energy: -2.326 eV/atom. Its total magnetization is 4.83 μB/f.u.

The space group is I4/mmm (No. 139) and the conventional cell measures 3.791, 3.791 and 21.047 Å, with angles of 90.00, 90.00 and 90.00 degrees. The inequivalent atoms are Tm at (0.000, 0.000, 0.000), U at (0.000, 0.000, 0.314), S at (0.000, 0.000, 0.128), S at (0.000, 0.000, 0.500) and O at (0.000, 0.500, 0.250).

---

# 3
DFT (PBE-GGA) results for a relaxed TmUS2O crystal.

The calculated volume is 19.3 A^3/atom. As for the uncorrected formation energy: -2.251 eV/atom. Its total magnetization is 2.48 μB/f.u.

The space group is P4/nmm (No. 129, origin choice 2) and the conventional cell measures 3.800, 3.800 and 13.375 Å, with angles of 90.00, 90.00 and 90.00 degrees. The inequivalent atoms are Tm at (0.250, 0.250, 0.106), U at (0.250, 0.250, 0.600), S at (0.250, 0.250, 0.305), S at (0.250, 0.250, 0.897) and O at (0.250, 0.750, 0.500).

---

# 4
DFT (PBE-GGA) results for a relaxed YTmSO2 crystal.

The calculated volume is 17.6 A^3/atom. As for the uncorrected formation energy: -3.145 eV/atom. Its total magnetization is 0.00 μB/f.u.

The space group is P2_1/m (No. 11) and the conventional cell measures 6.272, 3.972 and 7.427 Å, with angles of 90.00, 107.94 and 90.00 degrees. The inequivalent atoms are Y at (0.190, 0.250, 0.427), Tm at (0.182, 0.250, 0.922), S at (0.459, 0.750, 0.740), O at (0.020, 0.750, 0.886) and O at (0.021, 0.750, 0.374).

---

# 5
DFT (PBE-GGA) results for a relaxed YTmS2O crystal.

The calculated volume is 20.4 A^3/atom. As for the uncorrected formation energy: -2.516 eV/atom. Its total magnetization is 0.00 μB/f.u.

The space group is P4/nmm (No. 129, origin choice 2) and the conventional cell measures 3.845, 3.845 and 13.775 Å, with angles of 90.00, 90.00 and 90.00 degrees. The inequivalent atoms are Y at (0.250, 0.250, 0.084), Tm at (0.250, 0.250, 0.623), S at (0.250, 0.250, 0.410), S at (0.250, 0.250, 0.803) and O at (0.250, 0.750, 0.000).

---

# 6
DFT (PBE-GGA) results for a relaxed US2O9 crystal.

The calculated volume is 15.1 A^3/atom. As for the uncorrected formation energy: -1.824 eV/atom. Its total magnetization is 0.00 μB/f.u.

The space group is P-1 (No. 2) and the conventional cell measures 6.667, 6.961 and 8.225 Å, with angles of 86.80, 79.86 and 74.95 degrees. The inequivalent atoms are U at (0.207, 0.193, 0.249), S at (0.017, 0.746, 0.151), S at (0.387, 0.260, 0.641), O at (0.027, 0.281, 0.012), O at (0.029, 0.801, 0.608), O at (0.100, 0.558, 0.233), O at (0.143, 0.889, 0.150), O at (0.203, 0.142, 0.737), O at (0.329, 0.309, 0.477), O at (0.377, 0.426, 0.740), O at (0.424, 0.905, 0.368) and O at (0.441, 0.193, 0.106).

---

Number 1: mass density 7.4 Mg/m³. Number 2: mass density 8.5 Mg/m³. Number 3: mass density 8.4 Mg/m³. Number 4: mass density 6.1 Mg/m³. Number 5: mass density 5.5 Mg/m³. Number 6: mass density 4.1 Mg/m³.